Record 1
Entry from the Alexandria database: a relaxed Ce2Dy3Co4 crystal (PBE).

The space group is C2/m (No. 12) and the conventional cell measures 10.777, 3.973 and 8.735 Å, with angles of 90.00, 100.38 and 90.00 degrees. The inequivalent atoms are Ce at (0.179, 0.000, 0.282), Dy at (0.000, 0.500, 0.500), Dy at (0.121, 0.000, 0.886), Co at (0.090, 0.500, 0.117) and Co at (0.208, 0.000, 0.583).

As for the electronic total energy: -6.2072 eV per atom. The relative energy among the computed polymorphs is 0 meV/atom. The magnetization is 0.0 μB per cell. The density of states at the Fermi level is 1.1477 states/eV per atom. The value obtained for the energy of formation from the pure elements is -19.0 kJ per mole of atoms.

***

Record 2
Entry from the Alexandria database: a relaxed CeDy3Co2 crystal (PBE).

The space group is C2/m (No. 12) and the conventional cell measures 16.602, 3.688 and 11.627 Å, with angles of 90.00, 125.36 and 90.00 degrees. The inequivalent atoms are Ce at (0.165, 0.000, 0.265), Dy at (0.080, 0.500, 0.442), Dy at (0.083, 0.500, 0.945), Dy at (0.155, 0.000, 0.749), Co at (0.234, 0.000, 0.049) and Co at (0.239, 0.000, 0.572).

As for the electronic total energy: -5.8180 eV per atom. The relative energy among the computed polymorphs is 0 meV/atom. The magnetization is 0.0 μB per cell. The density of states at the Fermi level is 1.3655 states/eV per atom. The value obtained for the energy of formation from the pure elements is -15.4 kJ per mole of atoms.

***

Record 3
Entry from the Alexandria database: a relaxed Ce3DyCo crystal (PBE).

The space group is Pm-3m (No. 221) and the conventional cell measures 5.234, 5.234 and 5.234 Å, with angles of 90.00, 90.00 and 90.00 degrees. The inequivalent atoms are Ce at (0.000, 0.000, 0.500), Dy at (0.500, 0.500, 0.500) and Co at (0.000, 0.000, 0.000).

As for the electronic total energy: -5.8153 eV per atom. The magnetization is 2.1 μB per cell. The density of states at the Fermi level is 3.1838 states/eV per atom. The value obtained for the energy of formation from the pure elements is 8.4 kJ per mole of atoms.

***

Record 4
Entry from the Alexandria database: a relaxed CeDy2Co9 crystal (PBE).

The space group is R-3m (No. 166, hexagonal axes) and the conventional cell measures 4.9572, 4.9572 and 24.4919 Å, with angles of 90.00, 90.00 and 120.00 degrees. The inequivalent atoms are Ce at (0.0000, 0.0000, 0.0000), Dy at (0.0000, 0.0000, 0.1399), Co at (0.0000, 0.0000, 0.3344), Co at (0.0000, 0.0000, 0.5000) and Co at (0.0027, 0.5013, 0.9181).

As for the electronic total energy: -6.7616 eV per atom. The magnetization is 27.9 μB per cell. The density of states at the Fermi level is 1.4239 states/eV per atom. The value obtained for the energy of formation from the pure elements is -16.5 kJ per mole of atoms.